No. 1
A plane-wave DFT calculation with PBE was carried out for NaLi2As2Pb after structural relaxation.

CIF file:
```
data_NaLi2As2Pb
_cell_length_a 4.5195
_cell_length_b 4.5195
_cell_length_c 7.0413
_cell_angle_alpha 90.00
_cell_angle_beta 90.00
_cell_angle_gamma 120.00
_space_group_name_H-M_alt 'P -3 m 1'
_space_group_IT_number 164
_space_group_name_Hall '-P 3 2"'
loop_
_atom_site_label
_atom_site_fract_x
_atom_site_fract_y
_atom_site_fract_z
Na1 0.0000 0.0000 0.0000
Li1 0.3333 0.6667 0.1942
As1 0.3333 0.6667 0.7709
Pb1 0.0000 0.0000 0.5000
```

Calculated values
The spin magnetization is 0.00 μB per atom. The energy relative to the elements is -362 meV/atom.

No. 2
A plane-wave DFT calculation with PBE was carried out for Na2LiAs2Pd5 after structural relaxation.

CIF file:
```
data_Na2LiAs2Pd5
_cell_length_a 10.3517
_cell_length_b 10.3517
_cell_length_c 3.2239
_cell_angle_alpha 90.00
_cell_angle_beta 90.00
_cell_angle_gamma 90.00
_space_group_name_H-M_alt 'P 4/m b m'
_space_group_IT_number 127
_space_group_name_Hall '-P 4 2ab'
loop_
_atom_site_label
_atom_site_fract_x
_atom_site_fract_y
_atom_site_fract_z
Na1 0.1729 0.3271 0.0000
Li1 0.0000 0.0000 0.0000
As1 0.1340 0.6340 0.0000
Pd1 0.0000 0.5000 0.5000
Pd2 0.0534 0.8026 0.5000
```

Calculated values
The spin magnetization is 0.00 μB per atom. The energy relative to the elements is -344 meV/atom.

No. 3
A plane-wave DFT calculation with PBE was carried out for Na2LiAs4Pd3 after structural relaxation.

CIF file:
```
data_Na2LiAs4Pd3
_cell_length_a 4.3862
_cell_length_b 4.3862
_cell_length_c 10.1763
_cell_angle_alpha 90.00
_cell_angle_beta 90.00
_cell_angle_gamma 90.00
_space_group_name_H-M_alt 'P -4 m 2'
_space_group_IT_number 115
loop_
_space_group_symop_operation_xyz
'x,y,z'
'y,-x,-z'
'-x,-y,z'
'-y,x,-z'
'-x,y,z'
'-y,-x,-z'
'x,-y,z'
'y,x,-z'
loop_
_atom_site_label
_atom_site_fract_x
_atom_site_fract_y
_atom_site_fract_z
Na1 0.0000 0.5000 0.2396
Li1 0.5000 0.5000 0.0000
As1 0.0000 0.0000 0.5000
As2 0.0000 0.5000 0.8706
As3 0.5000 0.5000 0.5000
Pd1 0.0000 0.0000 0.0000
Pd2 0.0000 0.5000 0.6279
```

Calculated values
The spin magnetization is 0.00 μB per atom. The energy relative to the elements is -401 meV/atom.

No. 4
A plane-wave DFT calculation with PBE was carried out for Na2LiAsPd after structural relaxation.

CIF file:
```
data_Na2LiAsPd
_cell_length_a 5.4357
_cell_length_b 5.4357
_cell_length_c 4.7184
_cell_angle_alpha 90.00
_cell_angle_beta 90.00
_cell_angle_gamma 90.00
_space_group_name_H-M_alt 'P 4/m m m'
_space_group_IT_number 123
_space_group_name_Hall '-P 4 2'
loop_
_atom_site_label
_atom_site_fract_x
_atom_site_fract_y
_atom_site_fract_z
Na1 0.0000 0.5000 0.0000
Li1 0.0000 0.0000 0.5000
As1 0.0000 0.0000 0.0000
Pd1 0.5000 0.5000 0.5000
```

Calculated values
The spin magnetization is 0.00 μB per atom. The energy relative to the elements is 147 meV/atom.

No. 5
A plane-wave DFT calculation with PBE was carried out for NaLiAsPd after structural relaxation.

CIF file:
```
data_NaLiAsPd
_cell_length_a 4.2964
_cell_length_b 4.2964
_cell_length_c 15.0497
_cell_angle_alpha 90.00
_cell_angle_beta 90.00
_cell_angle_gamma 120.00
_space_group_name_H-M_alt 'R 3 m'
_space_group_IT_number 160
_space_group_name_Hall 'R 3 -2"'
loop_
_atom_site_label
_atom_site_fract_x
_atom_site_fract_y
_atom_site_fract_z
Na1 0.0000 0.0000 0.0000
Li1 0.0000 0.0000 0.7990
As1 0.0000 0.0000 0.2040
Pd1 0.0000 0.0000 0.5353
```

Calculated values
The spin magnetization is 0.00 μB per atom. The energy relative to the elements is -499 meV/atom.

No. 6
A plane-wave DFT calculation with PBE was carried out for NaLiAsPd after structural relaxation.

CIF file:
```
data_NaLiAsPd
_cell_length_a 6.3887
_cell_length_b 6.3887
_cell_length_c 6.3887
_cell_angle_alpha 90.00
_cell_angle_beta 90.00
_cell_angle_gamma 90.00
_space_group_name_H-M_alt 'F -4 3 m'
_space_group_IT_number 216
_space_group_name_Hall 'F -4 2 3'
loop_
_atom_site_label
_atom_site_fract_x
_atom_site_fract_y
_atom_site_fract_z
Na1 0.0000 0.0000 0.0000
Li1 0.2500 0.2500 0.2500
As1 0.0000 0.0000 0.5000
Pd1 0.2500 0.2500 0.7500
```

Calculated values
The spin magnetization is 0.00 μB per atom. The energy relative to the elements is -413 meV/atom.

Which of these has the highest energy relative to the elements?
Na2LiAsPd